Below is a geometry-optimized Rb3FeTe2O9 structure, with properties calculated at the PBE with a Hubbard U level.

a = 5.767 Å, b = 5.767 Å, c = 7.061 Å
α = 90.00°, β = 90.00°, γ = 120.00°
Site moments in Bohr magnetons follow the coordinates.
Fractional positions:
Rb: 0.333 0.667 0.665  0.00
Rb: 0.000 0.000 0.000  0.00
Rb: 0.667 0.333 0.335  0.00
Fe: 0.000 0.000 0.500  4.31
Te: 0.333 0.667 0.177  0.02
Te: 0.667 0.333 0.823  0.02
O: 0.829 0.171 0.673  0.10
O: 0.829 0.658 0.673  0.10
O: 0.342 0.171 0.673  0.10
O: 0.658 0.829 0.327  0.10
O: 0.171 0.342 0.327  0.10
O: 0.171 0.829 0.327  0.10
O: 0.500 0.000 0.000  0.04
O: 0.000 0.500 0.000  0.04
O: 0.500 0.500 0.000  0.04

Results
The value obtained for the magnetization is 0.35 μB per atom. The total energy is -5.13 eV per atom.